An optimized crystal structure of PmTm9Th2, computed with GGA-PBE.

Properties
**Energy relative to the lowest polymorph listed for this composition**: 0.072 eV per atom
**E_tot**: -4.88 eV/atom
**Formation energy from the elements**: 2.38 kcal/mol of atoms

Cell lengths 11.2299, 11.2299, 3.4782 Å; angles 90.00, 90.00, 120.00 degrees
Element x y z (fractional)
Pm1 0.0000 0.0000 0.0000
Tm1 0.0000 0.5000 0.0000
Tm2 0.1757 0.3513 0.5000
Tm3 0.1757 0.8243 0.5000
Tm4 0.3513 0.1757 0.5000
Tm5 0.5000 0.0000 0.0000
Tm6 0.5000 0.5000 0.0000
Tm7 0.6487 0.8243 0.5000
Tm8 0.8243 0.1757 0.5000
Tm9 0.8243 0.6487 0.5000
Th1 0.3333 0.6667 0.0000
Th2 0.6667 0.3333 0.0000